Record 1
{
  "formula": "K3RuBr2F6",
  "functional": "PBE",
  "state": "optimized geometry",
  "cell": [[7.833, -3.771, 0.000], [7.833, 3.771, 0.000], [-0.232, 0.000, 5.214]],
  "species": ["K", "K", "K", "Ru", "Br", "Br", "F", "F", "F", "F", "F", "F"],
  "frac_coords": [[0.000, 0.000, 0.000], [0.000, 0.500, 0.500], [0.500, 0.000, 0.500], [0.500, 0.500, 0.500], [0.202, 0.202, 0.001], [0.798, 0.798, 0.999], [0.291, 0.658, 0.258], [0.342, 0.709, 0.742], [0.381, 0.381, 0.584], [0.619, 0.619, 0.416], [0.658, 0.291, 0.258], [0.709, 0.342, 0.742]],
  "magnetic_moment_mub_per_atom": 0.253,
  "formation_energy_uncorrected_mev_per_atom": -1958
}

***

Record 2
{
  "formula": "K3SbBr2F6",
  "functional": "PBE",
  "state": "optimized geometry",
  "cell": [[8.024, -3.887, 0.000], [8.024, 3.887, 0.000], [-0.275, 0.000, 5.023]],
  "species": ["K", "K", "K", "Sb", "Br", "Br", "F", "F", "F", "F", "F", "F"],
  "frac_coords": [[0.000, 0.000, 0.000], [0.000, 0.500, 0.500], [0.500, 0.000, 0.500], [0.500, 0.500, 0.500], [0.196, 0.196, 0.000], [0.804, 0.804, 0.000], [0.288, 0.646, 0.253], [0.354, 0.712, 0.747], [0.387, 0.387, 0.618], [0.613, 0.613, 0.382], [0.646, 0.288, 0.253], [0.712, 0.354, 0.747]],
  "magnetic_moment_mub_per_atom": 0.000,
  "formation_energy_uncorrected_mev_per_atom": -2264
}

***

Record 3
{
  "formula": "KSeBr2F",
  "functional": "PBE",
  "state": "optimized geometry",
  "cell": [[6.001, 0.000, 0.000], [0.000, 6.001, 0.000], [0.000, 0.000, 3.954]],
  "species": ["K", "Se", "Br", "Br", "F"],
  "frac_coords": [[0.000, 0.000, 0.000], [0.500, 0.500, 0.000], [0.000, 0.500, 0.500], [0.500, 0.000, 0.500], [0.500, 0.500, 0.500]],
  "relative_energy_mev_per_atom": 0,
  "magnetic_moment_mub_per_atom": 0.238,
  "formation_energy_uncorrected_mev_per_atom": -633
}